Computed, not measured: crystalline PrHoZnTc at its relaxed geometry at the PBE level of DFT.

Lattice parameters (Å, degrees): 5.0172 5.0172 5.0172 60.00 60.00 60.00
Closest atoms and distances in Å follow each position.
Fractional positions:
Pr 0.0000 0.0000 0.0000  4 Tc 3.07, 4 Zn 3.07
Ho 0.5000 0.5000 0.5000  4 Tc 3.07, 4 Zn 3.07
Zn 0.2500 0.2500 0.2500  4 Ho 3.07, 4 Pr 3.07
Tc 0.7500 0.7500 0.7500  4 Pr 3.07, 4 Ho 3.07

Summary:
**Calculated volume**: 89 Å³/f.u.
**DFT formation energy**: -58.6 meV per atom
**Space group**: F-43m (216)
**DFT total energy**: -5.308 eV/atom



Computed, not measured: crystalline SrCaY2 at its relaxed geometry at the PBE level of DFT.

Lattice parameters (Å, degrees): 7.1460 7.1460 7.1460 147.21 128.36 62.53
Closest atoms and distances in Å follow each position.
Fractional positions:
Sr 0.0000 0.0000 0.0000  6 Y 3.71-3.79, 2 Ca 3.78, 2 Sr 4.03
Ca 0.7385 0.2385 0.5000  6 Y 3.62-3.72, 2 Sr 3.78, 2 Ca 4.03
Y 0.2631 0.7631 0.5000  2 Y 3.45, 4 Ca 3.72, 2 Sr 3.79
Y 0.4923 0.4923 0.0000  2 Y 3.45, 2 Ca 3.62, 4 Sr 3.71

Summary:
**Calculated volume**: 153 Å³/f.u.
**Distance to the lowest polymorph of the same formula**: 106 meV/atom
**DFT formation energy**: 189.7 meV per atom
**Space group**: Imm2 (44)
**DFT total energy**: -3.963 eV/atom



Computed, not measured: crystalline TbPuAg at its relaxed geometry at the PBE level of DFT.

Lattice parameters (Å, degrees): 7.2327 7.2327 7.2327 152.76 152.76 38.91
Closest atoms and distances in Å follow each position.
Fractional positions:
Tb 0.0000 0.0000 0.0000  4 Ag 3.13, 4 Tb 3.41
Pu 0.6942 0.6942 0.0000  4 Ag 3.24, 4 Pu 3.41, 4 Tb 3.58
Ag 0.3532 0.3532 0.0000  4 Tb 3.13, 4 Pu 3.24, 4 Ag 3.41

Summary:
**Calculated volume**: 79 Å³/f.u.
**Distance to the lowest polymorph of the same formula**: 0 meV/atom
**DFT formation energy**: 33.9 meV per atom
**Space group**: I4mm (107)
**DFT total energy**: -7.237 eV/atom



Computed, not measured: crystalline LaCdIr2 at its relaxed geometry at the PBE level of DFT.

Lattice parameters (Å, degrees): 6.0927 6.0927 6.0927 150.73 132.33 56.93
Closest atoms and distances in Å follow each position.
Fractional positions:
La 0.0000 0.0000 0.0000  6 Ir 2.92-3.24, 2 La 3.08
Cd 0.2944 0.7944 0.5000  6 Ir 2.98, 2 Cd 3.08, 2 La 3.30
Ir 0.5323 0.5323 0.0000  2 Ir 2.65, 4 La 2.92
Ir 0.7335 0.2335 0.5000  2 Ir 2.65

Summary:
**Calculated volume**: 81 Å³/f.u.
**DFT formation energy**: -116.0 meV per atom
**Space group**: Imm2 (44)
**DFT total energy**: -6.007 eV/atom



Computed, not measured: crystalline CdBiC2 at its relaxed geometry at the PBE level of DFT.

Lattice parameters (Å, degrees): 6.4293 6.4293 6.4293 130.84 130.84 72.07
Closest atoms and distances in Å follow each position.
Fractional positions:
Cd 0.0000 0.0000 0.0000  4 C 2.29
Cd 0.7500 0.2500 0.5000  4 C 2.29
Bi 0.2500 0.7500 0.5000  4 C 2.29
Bi 0.5000 0.5000 0.0000  4 C 2.29
C 0.1250 0.6250 0.0000  2 Cd 2.29, 2 Bi 2.29
C 0.3750 0.3750 0.5000  2 Cd 2.29, 2 Bi 2.29
C 0.6250 0.1250 0.0000  2 Cd 2.29, 2 Bi 2.29
C 0.8750 0.8750 0.5000  2 Cd 2.29, 2 Bi 2.29

Summary:
**Calculated volume**: 74 Å³/f.u.
**Distance to the lowest polymorph of the same formula**: 0 meV/atom
**DFT formation energy**: 1623.4 meV per atom
**Space group**: I-42d (122)
**DFT total energy**: -4.188 eV/atom



Computed, not measured: crystalline BaAu at its relaxed geometry at the PBE level of DFT.

Lattice parameters (Å, degrees): 4.6427 4.6427 9.2729 90.00 90.00 120.00
Closest atoms and distances in Å follow each position.
Fractional positions:
Ba 0.3333 0.6667 0.2221  4 Au 3.24-3.33
Ba 0.6667 0.3333 0.7779  4 Au 3.24-3.33
Au 0.3333 0.6667 0.5815  3 Au 3.08, 4 Ba 3.24-3.33
Au 0.6667 0.3333 0.4185  3 Au 3.08, 4 Ba 3.24-3.33

Summary:
**Calculated volume**: 87 Å³/f.u.
**DFT formation energy**: -435.5 meV per atom
**Space group**: P-3m1 (164)
**DFT total energy**: -3.036 eV/atom



Computed, not measured: crystalline Th2Si4GePt3 at its relaxed geometry at the PBE level of DFT.

Lattice parameters (Å, degrees): 4.3463 4.3463 9.7124 90.00 90.00 90.00
Closest atoms and distances in Å follow each position.
Fractional positions:
Th 0.0000 0.5000 0.2463  8 Si 3.23-3.28, 2 Ge 3.29, 7 Pt 3.29-3.55
Th 0.5000 0.0000 0.7537  8 Si 3.23-3.28, 2 Ge 3.29, 7 Pt 3.29-3.55
Si 0.0000 0.0000 0.0000  4 Pt 2.46
Si 0.0000 0.5000 0.6346  3 Pt 2.39-2.54, 2 Ge 2.54
Si 0.5000 0.0000 0.3654  3 Pt 2.39-2.54, 2 Ge 2.54
Si 0.5000 0.5000 0.0000  4 Pt 2.46
Ge 0.0000 0.0000 0.5000  4 Si 2.54
Pt 0.0000 0.5000 0.8805  5 Si 2.39-2.46
Pt 0.5000 0.0000 0.1195  5 Si 2.39-2.46
Pt 0.5000 0.5000 0.5000  4 Si 2.54

Summary:
**Calculated volume**: 183 Å³/f.u.
**Formation energy (no corrections)**: -0.93 eV per atom
**Space group**: P-4m2 (115)
**DFT total energy**: -6.860 eV/atom



Computed, not measured: crystalline CaSi2Se at its relaxed geometry at the PBE level of DFT.

Lattice parameters (Å, degrees): 4.2072 3.9180 6.3567 90.00 109.07 90.00
Closest atoms and distances in Å follow each position.
Fractional positions:
Ca 0.0000 0.0000 0.0000  4 Se 2.96, 1 Si 3.12
Si 0.6368 0.5000 0.2759  2 Si 2.31, 1 Se 2.36
Si 0.7421 0.0000 0.4811  2 Si 2.31
Se 0.4423 0.5000 0.8831  1 Si 2.36

Summary:
**Calculated volume**: 99 Å³/f.u.
**Formation energy (no corrections)**: -0.44 eV per atom
**Space group**: Pm (6)
**DFT total energy**: -4.525 eV/atom



Question: Look up the DFT total energy of the fifth one.
Answer: -4.188 eV/atom



Please write out number 6 again, unchanged.
Computed, not measured: crystalline BaAu at its relaxed geometry at the PBE level of DFT.

Lattice parameters (Å, degrees): 4.6427 4.6427 9.2729 90.00 90.00 120.00
Closest atoms and distances in Å follow each position.
Fractional positions:
Ba 0.3333 0.6667 0.2221  4 Au 3.24-3.33
Ba 0.6667 0.3333 0.7779  4 Au 3.24-3.33
Au 0.3333 0.6667 0.5815  3 Au 3.08, 4 Ba 3.24-3.33
Au 0.6667 0.3333 0.4185  3 Au 3.08, 4 Ba 3.24-3.33

Summary:
**Calculated volume**: 87 Å³/f.u.
**DFT formation energy**: -435.5 meV per atom
**Space group**: P-3m1 (164)
**DFT total energy**: -3.036 eV/atom



Question: calculated volume of number 3 (TbPuAg)?
Answer: 79 Å³/f.u.



Question: The lowest DFT total energy belongs to which entry?
Answer: TbPuAg